The following is a PBE calculation of a relaxed structure of Pa2I2Br3, from Alexandria via LeMat-Bulk.

Computed properties:
- Crystal system: monoclinic
- SG: P2/m (10)
- Energy: -32.695 eV for the cell shown
- Volume: 286.47 Å³/cell

Geometry as POSCAR:
```
Pa2I2Br3
1.0
4.8480 0.0000 -0.0493
0.0000 4.0187 0.0000
-2.2841 0.0000 14.7267
Pa Br I
2 3 2
direct
0.9005 0.0000 0.8025
0.0995 0.0000 0.1975
0.1908 0.0000 0.3795
0.8092 0.0000 0.6205
0.0000 0.0000 0.0000
0.5907 0.5000 0.1798
0.4093 0.5000 0.8202
```

=====

The following is a PBE calculation of a relaxed structure of Pa2I6Br, from Alexandria via LeMat-Bulk.

Computed properties:
- Crystal system: trigonal
- SG: R3 (146)
- Energy: -36.686 eV for the cell shown
- Volume: 424.97 Å³/cell

Geometry as POSCAR:
```
Pa2I6Br
1.0
3.2275 -6.6568 3.1153
1.6979 -6.2412 -4.7538
8.6141 -1.4835 -1.7528
Br Pa I
1 2 6
direct
0.7911 0.7911 0.6267
0.2943 0.2943 0.1171
0.4625 0.4625 0.6124
0.2854 0.7109 0.8681
0.1355 0.2854 0.8681
0.2860 0.8771 0.3455
0.4915 0.2860 0.3455
0.8771 0.4915 0.3455
0.7109 0.1355 0.8681
```

=====

The following is a PBE calculation of a relaxed structure of PaIBr2, from Alexandria via LeMat-Bulk.

Computed properties:
- Crystal system: trigonal
- SG: R-3m (166)
- Energy: -17.726 eV for the cell shown
- Volume: 138.11 Å³/cell
- Excess energy over the best structure of this formula in the dataset: 7.23 kcal/mol of atoms

Geometry as POSCAR:
```
PaIBr2
1.0
-1.6498 2.9580 -0.9802
-2.2295 -0.0471 -2.7312
-10.9729 -1.7943 6.7120
Br I Pa
2 1 1
direct
0.8884 0.8884 0.3349
0.1116 0.1116 0.6651
0.0000 0.0000 0.0000
0.5000 0.5000 0.5000
```

=====

The following is a PBE calculation of a relaxed structure of PaI4Br, from Alexandria via LeMat-Bulk.

Computed properties:
- Crystal system: triclinic
- SG: P-1 (2)
- Energy: -46.381 eV for the cell shown
- Volume: 622.86 Å³/cell
- Excess energy over the best structure of this formula in the dataset: 0.00 kcal/mol of atoms

Geometry as POSCAR:
```
PaI4Br
1.0
-3.2655 -3.3430 -6.5075
6.5683 -3.7242 -1.8445
-4.8897 -4.1275 9.7667
I Pa Br
8 2 2
direct
0.2615 0.0812 0.0626
0.7385 0.9188 0.9374
0.1122 0.2294 0.3556
0.7204 0.2629 0.6374
0.8115 0.4292 0.0293
0.8878 0.7706 0.6444
0.1885 0.5708 0.9707
0.2796 0.7371 0.3626
0.9895 0.1571 0.8358
0.0105 0.8429 0.1642
0.7539 0.8579 0.2620
0.2461 0.1421 0.7380
```

=====

The following is a PBE calculation of a relaxed structure of PaI2Br6, from Alexandria via LeMat-Bulk.

Computed properties:
- Crystal system: monoclinic
- SG: P2_1/c (14)
- Energy: -60.289 eV for the cell shown
- Volume: 1022.74 Å³/cell
- Excess energy over the best structure of this formula in the dataset: 1.98 kcal/mol of atoms

Geometry as POSCAR:
```
PaI2Br6
1.0
-3.7491 5.5009 -3.4403
0.8685 -5.4827 -9.7131
-10.7458 -5.4040 2.0895
Pa Br I
2 12 4
direct
0.5000 0.5000 0.0000
0.0000 0.0000 0.5000
0.2859 0.3303 0.0830
0.7790 0.8362 0.5866
0.7030 0.4984 0.2027
0.2970 0.5016 0.7973
0.2790 0.6638 0.0866
0.7859 0.1697 0.5830
0.7970 0.9984 0.2973
0.2210 0.1638 0.4134
0.7141 0.6697 0.9170
0.2141 0.8303 0.4170
0.7210 0.3362 0.9134
0.2030 0.0016 0.7027
0.7484 0.7482 0.2514
0.2484 0.7518 0.7514
0.2516 0.2518 0.7486
0.7516 0.2482 0.2486
```

=====

The following is a PBE calculation of a relaxed structure of PaI3Br2, from Alexandria via LeMat-Bulk.

Computed properties:
- Crystal system: orthorhombic
- SG: Imm2 (44)
- Energy: -23.971 eV for the cell shown
- Volume: 367.01 Å³/cell

Geometry as POSCAR:
```
PaI3Br2
1.0
6.0054 0.0000 1.3153
2.4380 7.8022 3.2360
1.2655 1.3837 8.5891
I Br Pa
3 2 1
direct
0.9319 0.8100 0.3262
0.9319 0.3262 0.8100
0.2857 0.7143 0.7143
0.6537 0.6219 0.0707
0.6537 0.0707 0.6219
0.7861 0.7139 0.7139
```

=====

The following is a PBE calculation of a relaxed structure of PaI2Br4, from Alexandria via LeMat-Bulk.

Computed properties:
- Crystal system: tetragonal
- SG: I4/mmm (139)
- Energy: -24.725 eV for the cell shown
- Volume: 411.24 Å³/cell
- Excess energy over the best structure of this formula in the dataset: 0.00 kcal/mol of atoms

Geometry as POSCAR:
```
PaI2Br4
1.0
5.5834 0.0000 0.0000
0.0000 5.5834 0.0000
2.7917 2.7917 13.1915
Br Pa I
4 1 2
direct
0.8994 0.8994 0.2012
0.5000 0.0000 0.0000
0.1006 0.1006 0.7988
0.0000 0.5000 0.0000
0.0000 0.0000 0.0000
0.7485 0.7485 0.5029
0.2515 0.2515 0.4971
```

=====

The following is a PBE calculation of a relaxed structure of PaIBr3, from Alexandria via LeMat-Bulk.

Computed properties:
- Crystal system: monoclinic
- SG: P2_1/m (11)
- Energy: -44.994 eV for the cell shown
- Volume: 457.74 Å³/cell
- Excess energy over the best structure of this formula in the dataset: 0.11 kcal/mol of atoms

Geometry as POSCAR:
```
PaIBr3
1.0
7.1412 -0.0720 0.0000
-0.2587 7.4630 0.0000
0.0000 0.0000 8.5919
Br Pa I
6 2 2
direct
0.7067 0.8401 0.9998
0.7464 0.2840 0.2500
0.2933 0.1599 0.0002
0.2536 0.7160 0.7500
0.7067 0.8401 0.5002
0.2933 0.1599 0.4998
0.5004 0.9999 0.2500
0.4996 0.0001 0.7500
0.7681 0.3099 0.7500
0.2319 0.6901 0.2500
```

=====

The following is a PBE calculation of a relaxed structure of PaIBr6, from Alexandria via LeMat-Bulk.

Computed properties:
- Crystal system: monoclinic
- SG: C2/m (12)
- Energy: -29.559 eV for the cell shown
- Volume: 403.95 Å³/cell
- Excess energy over the best structure of this formula in the dataset: 0.00 kcal/mol of atoms

Geometry as POSCAR:
```
PaIBr6
1.0
-8.3086 -1.9486 2.8055
3.7796 -6.1794 1.6699
1.0056 -1.4127 7.2286
Br Pa I
6 1 1
direct
0.3028 0.3837 0.3183
0.6972 0.3183 0.3837
0.6713 0.9048 0.0952
0.6972 0.6163 0.6817
0.3028 0.6817 0.6163
0.3287 0.0952 0.9048
0.5000 0.5000 0.5000
0.0000 0.0000 0.0000
```

=====

The following is a PBE calculation of a relaxed structure of PaIBr2, from Alexandria via LeMat-Bulk.

Computed properties:
- Crystal system: orthorhombic
- SG: Imm2 (44)
- Energy: -18.980 eV for the cell shown
- Volume: 175.96 Å³/cell
- Excess energy over the best structure of this formula in the dataset: 0.00 kcal/mol of atoms

Geometry as POSCAR:
```
PaIBr2
1.0
3.8157 0.0012 0.0001
1.9056 7.1317 0.2799
1.9084 2.7743 6.5755
Br Pa I
2 1 1
direct
0.0900 0.8837 0.9361
0.4099 0.5639 0.6163
0.7500 0.8660 0.6340
0.2501 0.1864 0.3136
```

=====

The following is a PBE calculation of a relaxed structure of PaI2Br6, from Alexandria via LeMat-Bulk.

Computed properties:
- Crystal system: triclinic
- SG: P-1 (2)
- Energy: -30.917 eV for the cell shown
- Volume: 439.29 Å³/cell
- Excess energy over the best structure of this formula in the dataset: 0.00 kcal/mol of atoms

Geometry as POSCAR:
```
PaI2Br6
1.0
-9.6127 1.5992 1.5014
-6.0767 0.5901 -5.2881
6.7394 -8.2187 2.3448
Br I Pa
6 2 1
direct
0.9447 0.4589 0.1480
0.4030 0.8894 0.1972
0.0553 0.5411 0.8520
0.5970 0.1106 0.8028
0.9927 0.0824 0.2857
0.0073 0.9176 0.7143
0.6507 0.3257 0.5639
0.3493 0.6743 0.4361
0.0000 0.0000 0.0000
```

=====

The following is a PBE calculation of a relaxed structure of PaIBr2, from Alexandria via LeMat-Bulk.

Computed properties:
- Crystal system: orthorhombic
- SG: Cmmm (65)
- Energy: -18.793 eV for the cell shown
- Volume: 173.32 Å³/cell
- Excess energy over the best structure of this formula in the dataset: 1.08 kcal/mol of atoms

Geometry as POSCAR:
```
PaIBr2
1.0
-3.2292 -1.7674 -1.1370
-0.4366 -3.6797 6.9597
-2.9605 5.4556 -0.0721
Pa I Br
1 1 2
direct
0.5000 0.5000 0.2500
0.5000 0.5000 0.7500
0.0000 0.7985 0.3994
0.0000 0.2015 0.1006
```

=====

The following is a PBE calculation of a relaxed structure of PaI3Br, from Alexandria via LeMat-Bulk.

Computed properties:
- Crystal system: orthorhombic
- SG: Pnma (62)
- Energy: -84.037 eV for the cell shown
- Volume: 1021.45 Å³/cell

Geometry as POSCAR:
```
PaI3Br
1.0
7.6078 0.0000 0.0000
0.0000 8.7815 0.0000
0.0000 0.0000 15.2893
Br I Pa
4 12 4
direct
0.1786 0.7500 0.5853
0.6786 0.7500 0.9147
0.3214 0.2500 0.0853
0.8214 0.2500 0.4147
0.7309 0.5021 0.6373
0.7691 0.4979 0.1373
0.7691 0.0021 0.1373
0.7309 0.9979 0.6373
0.7937 0.7500 0.3989
0.2309 0.5021 0.8627
0.2309 0.9979 0.8627
0.2691 0.4979 0.3627
0.2691 0.0021 0.3627
0.2937 0.7500 0.1011
0.7063 0.2500 0.8989
0.2063 0.2500 0.6011
0.5000 0.0000 0.0000
0.0000 0.5000 0.5000
0.5000 0.5000 0.0000
0.0000 0.0000 0.5000
```

=====

The following is a PBE calculation of a relaxed structure of PaI4Br4, from Alexandria via LeMat-Bulk.

Computed properties:
- Crystal system: tetragonal
- SG: I4/mmm (139)
- Energy: -26.778 eV for the cell shown
- Volume: 404.58 Å³/cell

Geometry as POSCAR:
```
PaI4Br4
1.0
6.6673 0.0000 0.0000
3.3336 7.7898 0.0000
3.3336 0.0000 7.7898
I Br Pa
4 4 1
direct
0.3553 0.2891 0.0002
0.3556 0.9998 0.2891
0.6444 0.0002 0.7109
0.6447 0.7109 0.9998
0.0000 0.2429 0.7572
0.7571 0.2428 0.2429
0.0000 0.7571 0.2428
0.2429 0.7572 0.7571
0.0000 0.0000 0.0000
```

=====

The following is a PBE calculation of a relaxed structure of PaIBr4, from Alexandria via LeMat-Bulk.

Computed properties:
- Crystal system: monoclinic
- SG: C2/c (15)
- Energy: -49.261 eV for the cell shown
- Volume: 554.72 Å³/cell
- Excess energy over the best structure of this formula in the dataset: 2.99 kcal/mol of atoms

Geometry as POSCAR:
```
PaIBr4
1.0
-0.1588 6.5063 -0.7108
-4.3196 -0.8481 10.1332
9.3629 -2.3188 -1.6318
Pa Br I
2 8 2
direct
0.8342 0.0842 0.1685
0.1658 0.9158 0.8315
0.1564 0.3495 0.3986
0.7421 0.0490 0.3986
0.5042 0.2064 0.1106
0.8936 0.0959 0.8894
0.1064 0.9041 0.1106
0.2579 0.9510 0.6014
0.4958 0.7936 0.8894
0.8436 0.6505 0.6014
0.2511 0.5011 0.0023
0.7489 0.4989 0.9977
```

=====

The following is a PBE calculation of a relaxed structure of PaIBr4, from Alexandria via LeMat-Bulk.

Computed properties:
- Crystal system: monoclinic
- SG: P2_1/c (14)
- Energy: -50.819 eV for the cell shown
- Volume: 640.30 Å³/cell
- Excess energy over the best structure of this formula in the dataset: 0.00 kcal/mol of atoms

Geometry as POSCAR:
```
PaIBr4
1.0
7.5379 -2.2251 0.0000
-5.5752 8.0616 0.0000
0.0000 0.0000 13.2394
Br Pa I
8 2 2
direct
0.8364 0.0075 0.1739
0.1636 0.9925 0.8261
0.7206 0.5138 0.6012
0.7206 0.0138 0.8988
0.1636 0.4925 0.6739
0.8364 0.5075 0.3261
0.2794 0.9861 0.1012
0.2794 0.4862 0.3988
0.0000 0.0000 0.0000
0.0000 0.5000 0.5000
0.4999 0.5000 0.0000
0.5000 0.0000 0.5000
```

=====

The following is a PBE calculation of a relaxed structure of PaI2Br, from Alexandria via LeMat-Bulk.

Computed properties:
- Crystal system: triclinic
- SG: P-1 (2)
- Energy: -18.180 eV for the cell shown
- Volume: 205.22 Å³/cell
- Excess energy over the best structure of this formula in the dataset: 0.44 kcal/mol of atoms

Geometry as POSCAR:
```
PaI2Br
1.0
-0.0637 -2.1128 3.4148
2.0548 -4.6038 -2.8103
8.2936 1.4393 3.3977
Br I Pa
1 2 1
direct
0.9993 0.5000 0.0001
0.6337 0.0067 0.7319
0.3668 0.9933 0.2680
0.0002 0.0000 0.0000
```

=====

The following is a PBE calculation of a relaxed structure of Rb2PaI4Br2, from Alexandria via LeMat-Bulk.

Computed properties:
- Crystal system: monoclinic
- SG: C2/m (12)
- Energy: -33.355 eV for the cell shown
- Volume: 420.43 Å³/cell

Geometry as POSCAR:
```
Rb2PaI4Br2
1.0
-3.2989 6.8760 -3.9473
-4.5965 -0.7421 -6.9497
-8.1575 1.7972 0.4497
I Rb Br Pa
4 2 2 1
direct
0.7044 0.2916 0.7913
0.2956 0.7084 0.2087
0.2956 0.2087 0.7084
0.7044 0.7913 0.2916
0.7642 0.2456 0.2456
0.2358 0.7544 0.7544
0.8168 0.7617 0.7617
0.1832 0.2383 0.2383
0.5000 0.0000 0.0000
```

=====

The following is a PBE calculation of a relaxed structure of PaSeIBr, from Alexandria via LeMat-Bulk.

Computed properties:
- Crystal system: monoclinic
- SG: Cm (8)
- Energy: -20.596 eV for the cell shown
- Volume: 157.37 Å³/cell

Geometry as POSCAR:
```
PaSeIBr
1.0
-0.0433 -4.2969 2.0633
3.6346 -1.3477 2.7760
-2.5310 1.2103 7.9735
Pa I Se Br
1 1 1 1
direct
0.1083 0.3929 0.3905
0.5230 0.8062 0.1477
0.7522 0.0369 0.4587
0.9946 0.2811 0.7298
```

=====

The following is a PBE calculation of a relaxed structure of PaTeIBr, from Alexandria via LeMat-Bulk.

Computed properties:
- Crystal system: orthorhombic
- SG: Imm2 (44)
- Energy: -19.646 eV for the cell shown
- Volume: 165.95 Å³/cell

Geometry as POSCAR:
```
PaTeIBr
1.0
3.9078 0.0000 0.0000
0.0000 4.7262 -0.0086
-1.9539 -2.3437 8.9899
Pa Br I Te
1 1 1 1
direct
0.9013 0.3597 0.8027
0.5259 0.4839 0.0518
0.7376 0.1960 0.4752
0.3700 0.8283 0.7400
```

=====

no.,size of the total moment (μB per atom),uncorrected formation energy (meV/atom)
1,0.520,-798
2,0.334,-747
3,0.001,-833
4,0.000,-970
5,0.000,-835
6,0.000,-1080
7,0.106,-777
8,0.200,-1286
9,0.016,-1059
10,0.485,-1147
11,0.089,-920
12,0.500,-1100
13,0.200,-1038
14,0.089,-488
15,0.111,-1149
16,0.000,-1279
17,0.501,-978
18,0.112,-1375
19,0.250,-1098
20,0.213,-946